No. 1
VASP calculation (PBE) on AlZnW after structural relaxation.

a b c (Å): 4.3001 4.3001 4.3001
angles (deg): 60.00 60.00 60.00
With the nearest neighbours (Å) after each atom.
Element x y z (fractional)
Al 0.2500 0.2500 0.2500  4 W 2.63
W 0.0000 0.0000 0.0000  4 Al 2.63, 4 Zn 2.63
Zn 0.7500 0.7500 0.7500  4 W 2.63

The energy above the most stable polymorph in this dataset is 46 meV per atom. Its space-group type is F-43m, No. 216.



No. 2
VASP calculation (PBE) on ZnIn2Se2S2 after structural relaxation.

a b c (Å): 5.6546 5.6796 6.9721
angles (deg): 112.98 113.81 90.03
With the nearest neighbours (Å) after each atom.
Element x y z (fractional)
In 0.4997 0.4943 0.0005  2 S 2.51, 2 Se 2.62
In 0.7386 0.2488 0.4998  2 S 2.51, 2 Se 2.63
S 0.3490 0.3734 0.2483  1 Zn 2.37, 2 In 2.51
S 0.6202 0.1049 0.7524  1 Zn 2.37, 2 In 2.51
Se 0.9167 0.8675 0.2676  1 Zn 2.50, 2 In 2.62-2.63
Se 0.1270 0.6514 0.7318  1 Zn 2.51, 2 In 2.62-2.63
Zn 0.9989 0.0096 0.9996  2 S 2.37, 2 Se 2.50-2.51

The calculation puts the total DFT energy (no corrections) at -26.3 eV/f.u. Its space-group type is P1, No. 1.



No. 3
VASP calculation (PBE) on ErPuTe after structural relaxation.

a b c (Å): 5.1146 5.1146 5.1146
angles (deg): 60.00 60.00 60.00
With the nearest neighbours (Å) after each atom.
Element x y z (fractional)
Er 0.2500 0.2500 0.2500  4 Te 3.13
Pu 0.7500 0.7500 0.7500  4 Te 3.13
Te 0.0000 0.0000 0.0000  4 Er 3.13, 4 Pu 3.13

The energy above the most stable polymorph in this dataset is 0 meV per atom. Its space-group type is F-43m, No. 216.